# 1
Material: Na2TaBr
Method: DFT, meta-GGA SCAN
State: PBEsol geometry

Results
The final energy is -22.64 eV/atom. Its formation energy from raw total energies is 0.983 eV/atom. As for the volume: 27.34 Å³/atom.

The structure in CIF format:
```
data_Na2TaBr
_symmetry_space_group_name_H-M 'F m -3 m'
_symmetry_Int_Tables_number 225
_symmetry_space_group_name_Hall '-F 4 2 3'
_cell_length_a 7.591
_cell_length_b 7.591
_cell_length_c 7.591
_cell_angle_alpha 90.00
_cell_angle_beta 90.00
_cell_angle_gamma 90.00
loop_
_atom_site_label
_atom_site_type_symbol
_atom_site_fract_x
_atom_site_fract_y
_atom_site_fract_z
Na1 Na 0.250 0.250 0.250
Ta1 Ta 0.000 0.000 0.000
Br1 Br 0.000 0.000 0.500
```

=====

# 2
Material: Mg5Tl2
Method: DFT, meta-GGA SCAN
State: PBEsol geometry

Results
The final energy is -24.40 eV/atom. The formation energy comes out at -1.2 eV per formula unit. As for the volume: 22.86 Å³/atom.

The structure in CIF format:
```
data_Mg5Tl2
_symmetry_space_group_name_H-M 'I b a m'
_symmetry_Int_Tables_number 72
_symmetry_space_group_name_Hall '-I 2 2c'
_cell_length_a 7.366
_cell_length_b 14.108
_cell_length_c 6.160
_cell_angle_alpha 90.00
_cell_angle_beta 90.00
_cell_angle_gamma 90.00
loop_
_atom_site_label
_atom_site_type_symbol
_atom_site_fract_x
_atom_site_fract_y
_atom_site_fract_z
Mg1 Mg 0.000 0.000 0.250
Mg2 Mg 0.000 0.232 0.250
Mg3 Mg 0.162 0.413 0.000
Tl1 Tl 0.231 0.378 0.500
```

=====

# 3
Material: Au2BrCl
Method: DFT, meta-GGA SCAN
State: PBEsol geometry

Results
The final energy is -41.62 eV/atom. Its formation energy from raw total energies is -0.183 eV/atom. As for the volume: 24.37 Å³/atom.

The structure in CIF format:
```
data_Au2BrCl
_symmetry_space_group_name_H-M 'C m m 2'
_symmetry_Int_Tables_number 35
_cell_length_a 3.566
_cell_length_b 6.644
_cell_length_c 8.231
_cell_angle_alpha 90.00
_cell_angle_beta 90.00
_cell_angle_gamma 90.00
loop_
_symmetry_equiv_pos_as_xyz
'x,y,z'
'-x,-y,z'
'-x,y,z'
'x,-y,z'
'x+1/2,y+1/2,z'
'-x+1/2,-y+1/2,z'
'-x+1/2,y+1/2,z'
'x+1/2,-y+1/2,z'
loop_
_atom_site_label
_atom_site_type_symbol
_atom_site_fract_x
_atom_site_fract_y
_atom_site_fract_z
Au1 Au 0.000 0.000 0.000
Au2 Au 0.000 0.500 0.224
Br1 Br 0.000 0.000 0.437
Cl1 Cl 0.000 0.500 0.805
```

=====

# 4
Material: ScTeRhI2
Method: DFT, meta-GGA SCAN
State: PBEsol geometry

Results
The final energy is -31.75 eV/atom. Its formation energy from raw total energies is 0.003 eV/atom. As for the volume: 28.39 Å³/atom.

The structure in CIF format:
```
data_ScTeRhI2
_symmetry_space_group_name_H-M 'P 4/m m m'
_symmetry_Int_Tables_number 123
_symmetry_space_group_name_Hall '-P 4 2'
_cell_length_a 5.201
_cell_length_b 5.201
_cell_length_c 5.248
_cell_angle_alpha 90.00
_cell_angle_beta 90.00
_cell_angle_gamma 90.00
loop_
_atom_site_label
_atom_site_type_symbol
_atom_site_fract_x
_atom_site_fract_y
_atom_site_fract_z
Sc1 Sc 0.000 0.000 0.000
Te1 Te 0.500 0.500 0.000
Rh1 Rh 0.500 0.500 0.500
I1 I 0.000 0.500 0.500
```

=====

# 5
Material: Ti2CoRe
Method: DFT, meta-GGA SCAN
State: PBEsol geometry

Results
The final energy is -30.63 eV/atom. The formation energy comes out at -2.1 eV per formula unit. As for the volume: 13.67 Å³/atom.

The structure in CIF format:
```
data_Ti2CoRe
_symmetry_space_group_name_H-M 'F m -3 m'
_symmetry_Int_Tables_number 225
_symmetry_space_group_name_Hall '-F 4 2 3'
_cell_length_a 6.025
_cell_length_b 6.025
_cell_length_c 6.025
_cell_angle_alpha 90.00
_cell_angle_beta 90.00
_cell_angle_gamma 90.00
loop_
_atom_site_label
_atom_site_type_symbol
_atom_site_fract_x
_atom_site_fract_y
_atom_site_fract_z
Ti1 Ti 0.250 0.250 0.250
Co1 Co 0.000 0.000 0.000
Re1 Re 0.000 0.000 0.500
```

=====

# 6
Material: ScAsIr
Method: DFT, meta-GGA SCAN
State: PBEsol geometry

Results
The final energy is -35.78 eV/atom. The formation energy comes out at -1.8 eV per formula unit. As for the volume: 16.28 Å³/atom.

The structure in CIF format:
```
data_ScAsIr
_symmetry_space_group_name_H-M 'I 4 m m'
_symmetry_Int_Tables_number 107
_symmetry_space_group_name_Hall 'I 4 -2'
_cell_length_a 3.036
_cell_length_b 3.036
_cell_length_c 10.595
_cell_angle_alpha 90.00
_cell_angle_beta 90.00
_cell_angle_gamma 90.00
loop_
_atom_site_label
_atom_site_type_symbol
_atom_site_fract_x
_atom_site_fract_y
_atom_site_fract_z
Sc1 Sc 0.000 0.000 0.000
As1 As 0.000 0.000 0.682
Ir1 Ir 0.000 0.000 0.327
```